Entry A
TcP2PtO: relaxed, GGA-PBE.

POSCAR file:
```
TcP2PtO
1.0
4.716 0.000 0.000
0.000 4.716 0.000
0.000 0.000 3.634
Tc P Pt O
1 2 1 1
Direct
0.000 0.000 0.000 Tc
0.000 0.500 0.000 P
0.500 0.000 0.000 P
0.500 0.500 0.500 Pt
0.000 0.000 0.500 O
```

Entry B
TcP2PtO: relaxed, GGA-PBE.

POSCAR file:
```
TcP2PtO
1.0
4.774 0.000 0.000
0.000 4.774 0.000
0.000 0.000 3.759
Tc P Pt O
1 2 1 1
Direct
0.000 0.000 0.000 Tc
0.000 0.500 0.500 P
0.500 0.000 0.500 P
0.500 0.500 0.500 Pt
0.500 0.500 0.000 O
```

Most favorable first, least favorable last: entry A, entry B

Entry A
TiPPtO2: relaxed, GGA-PBE.

POSCAR file:
```
TiPPtO2
1.0
3.645 0.000 0.000
0.000 3.645 0.000
0.000 0.000 6.041
Ti P Pt O
1 1 1 2
Direct
0.000 0.000 0.000 Ti
0.000 0.000 0.500 P
0.500 0.500 0.500 Pt
0.000 0.500 0.000 O
0.500 0.000 0.000 O
```

Entry B
TiPPtO2: relaxed, GGA-PBE.

POSCAR file:
```
TiPPtO2
1.0
3.892 0.000 0.000
0.000 3.892 0.000
0.000 0.000 4.899
Ti P Pt O
1 1 1 2
Direct
0.000 0.000 0.000 Ti
0.500 0.500 0.000 P
0.500 0.500 0.500 Pt
0.000 0.500 0.500 O
0.500 0.000 0.500 O
```

Most favorable first, least favorable last: entry A, entry B

Entry A
TlPPtO2: relaxed, GGA-PBE.

POSCAR file:
```
TlPPtO2
1.0
3.885 0.000 0.000
0.000 3.885 0.000
0.000 0.000 7.520
Tl P Pt O
1 1 1 2
Direct
0.000 0.000 0.000 Tl
0.000 0.000 0.500 P
0.500 0.500 0.500 Pt
0.000 0.500 0.000 O
0.500 0.000 0.000 O
```

Entry B
TlPPtO2: relaxed, GGA-PBE.

POSCAR file:
```
TlPPtO2
1.0
3.985 0.000 0.000
0.000 3.985 0.000
0.000 0.000 5.065
Tl P Pt O
1 1 1 2
Direct
0.000 0.000 0.000 Tl
0.500 0.500 0.000 P
0.500 0.500 0.500 Pt
0.000 0.500 0.500 O
0.500 0.000 0.500 O
```

Most favorable first, least favorable last: entry B, entry A